This record from Alexandria via LeMat-Bulk describes Ca2Cu7 after structural relaxation. The functional is PBE-GGA.

Its formation energy is -119 meV per atom. For the total energy, the calculation gives -3.750 eV per atom.

The space group is R-3m (No. 166, hexagonal axes) and the conventional cell measures 5.1849, 5.1849 and 37.1369 Å, with angles of 90.00, 90.00 and 120.00 degrees. Symmetry generates all atoms from Ca at (0.0000, 0.0000, 0.0512), Ca at (0.0000, 0.0000, 0.1485), Cu at (0.0000, 0.0000, 0.2785), Cu at (0.0000, 0.0000, 0.3876), Cu at (0.0000, 0.0000, 0.5000), Cu at (0.0000, 0.5000, 0.0000) and Cu at (0.0006, 0.5003, 0.1090).

This record from Alexandria via LeMat-Bulk describes Ca3Cu after structural relaxation. The functional is PBE-GGA.

Its formation energy is -72 meV per atom. For the total energy, the calculation gives -2.598 eV per atom.

The space group is Pnma (No. 62) and the conventional cell measures 7.708, 10.004 and 6.732 Å, with angles of 90.00, 90.00 and 90.00 degrees. Symmetry generates all atoms from Ca at (0.038, 0.250, 0.147), Ca at (0.175, 0.066, 0.664) and Cu at (0.122, 0.750, 0.447).

This record from Alexandria via LeMat-Bulk describes Ca3Cu after structural relaxation. The functional is PBE-GGA.

Its formation energy is 133 meV per atom. For the total energy, the calculation gives -2.392 eV per atom.

The space group is P6_3/mmc (No. 194) and the conventional cell measures 7.1055, 7.1055 and 5.6159 Å, with angles of 90.00, 90.00 and 120.00 degrees. Symmetry generates all atoms from Ca at (0.1733, 0.3465, 0.2500) and Cu at (0.3333, 0.6667, 0.7500).

This record from Alexandria via LeMat-Bulk describes Ca3Cu after structural relaxation. The functional is PBE-GGA.

Its formation energy is 36 meV per atom. For the total energy, the calculation gives -2.489 eV per atom.

The space group is P-6m2 (No. 187) and the conventional cell measures 3.9145, 3.9145 and 10.3112 Å, with angles of 90.00, 90.00 and 120.00 degrees. Symmetry generates all atoms from Ca at (0.0000, 0.0000, 0.0000), Ca at (0.3333, 0.6667, 0.3152) and Cu at (0.0000, 0.0000, 0.5000).

This record from Alexandria via LeMat-Bulk describes CaCu after structural relaxation. The functional is PBE-GGA.

Its formation energy is 22 meV per atom. For the total energy, the calculation gives -3.027 eV per atom.

The space group is P6/mmm (No. 191) and the conventional cell measures 5.9731, 5.9731 and 4.8744 Å, with angles of 90.00, 90.00 and 120.00 degrees. Symmetry generates all atoms from Ca at (0.0000, 0.0000, 0.0000), Ca at (0.3333, 0.6667, 0.5000) and Cu at (0.0000, 0.5000, 0.0000).

This record from Alexandria via LeMat-Bulk describes CaCu after structural relaxation. The functional is PBE-GGA.

Its formation energy is 90 meV per atom. For the total energy, the calculation gives -2.959 eV per atom.

The space group is Fddd (No. 70, origin choice 2) and the conventional cell measures 5.947, 8.739 and 14.394 Å, with angles of 90.00, 90.00 and 90.00 degrees. Symmetry generates all atoms from Ca at (0.125, 0.307, 0.125) and Cu at (0.125, 0.125, 0.542).

This record from Alexandria via LeMat-Bulk describes Ca3Cu11 after structural relaxation. The functional is PBE-GGA.

Its formation energy is -72 meV per atom. For the total energy, the calculation gives -3.720 eV per atom.

The space group is Immm (No. 71) and the conventional cell measures 4.166, 8.915 and 12.299 Å, with angles of 90.00, 90.00 and 90.00 degrees. Symmetry generates all atoms from Ca at (0.000, 0.000, 0.000), Ca at (0.000, 0.000, 0.306), Cu at (0.000, 0.204, 0.500), Cu at (0.000, 0.278, 0.118), Cu at (0.000, 0.348, 0.322) and Cu at (0.000, 0.500, 0.000).

This record from Alexandria via LeMat-Bulk describes CaCu5 after structural relaxation. The functional is PBE-GGA.

Its formation energy is 62 meV per atom. For the total energy, the calculation gives -3.685 eV per atom.

The space group is P4/mmm (No. 123) and the conventional cell measures 3.148, 3.148 and 9.081 Å, with angles of 90.00, 90.00 and 90.00 degrees. Symmetry generates all atoms from Ca at (0.000, 0.000, 0.000), Cu at (0.000, 0.000, 0.357), Cu at (0.500, 0.500, 0.225) and Cu at (0.500, 0.500, 0.500).

This record from Alexandria via LeMat-Bulk describes Ca4Cu after structural relaxation. The functional is PBE-GGA.

Its formation energy is -26 meV per atom. For the total energy, the calculation gives -2.446 eV per atom.

The space group is P-1 (No. 2) and the conventional cell measures 6.355, 7.383 and 8.625 Å, with angles of 69.21, 68.42 and 89.92 degrees. Symmetry generates all atoms from Ca at (0.069, 0.362, 0.361), Ca at (0.164, 0.995, 0.173), Ca at (0.321, 0.693, 0.858), Ca at (0.413, 0.262, 0.672) and Cu at (0.301, 0.000, 0.500).

This record from Alexandria via LeMat-Bulk describes CaCu5 after structural relaxation. The functional is PBE-GGA.

Its formation energy is -124 meV per atom. For the total energy, the calculation gives -3.871 eV per atom.

The space group is P6/mmm (No. 191) and the conventional cell measures 5.1295, 5.1295 and 4.0299 Å, with angles of 90.00, 90.00 and 120.00 degrees. Symmetry generates all atoms from Ca at (0.0000, 0.0000, 0.0000), Cu at (0.0000, 0.5000, 0.5000) and Cu at (0.3333, 0.6667, 0.0000).

This record from Alexandria via LeMat-Bulk describes CaCu3 after structural relaxation. The functional is PBE-GGA.

Its formation energy is 162 meV per atom. For the total energy, the calculation gives -3.411 eV per atom.

The space group is P4/mmm (No. 123) and the conventional cell measures 4.064, 4.064 and 4.051 Å, with angles of 90.00, 90.00 and 90.00 degrees. Symmetry generates all atoms from Ca at (0.000, 0.000, 0.000), Cu at (0.000, 0.500, 0.500) and Cu at (0.500, 0.500, 0.000).

This record from Alexandria via LeMat-Bulk describes Ca3Cu after structural relaxation. The functional is PBE-GGA.

Its formation energy is 2 meV per atom. For the total energy, the calculation gives -2.523 eV per atom.

The space group is Imm2 (No. 44) and the conventional cell measures 3.862, 10.594 and 6.557 Å, with angles of 90.00, 90.00 and 90.00 degrees. Symmetry generates all atoms from Ca at (0.000, 0.000, 0.000), Ca at (0.000, 0.186, 0.489) and Cu at (0.000, 0.500, 0.168).

M_tot (computed, μB/f.u.): 0.00; 0.00; 0.00; 0.00; 0.00; 0.00; 0.00; 0.00; 0.00; 0.00; 0.00; 0.00